1.
A plane-wave DFT calculation with PBEsol was carried out for a relaxed structure of NiIr2Os.

```
data_NiIr2Os
_space_group_name_H-M_alt 'P m m m'
_space_group_IT_number 47
_space_group_name_Hall '-P 2 2'
_cell_length_a 2.6892
_cell_length_b 3.7249
_cell_length_c 5.2779
_cell_angle_alpha 90.00
_cell_angle_beta 90.00
_cell_angle_gamma 90.00
loop_
_atom_site_label
_atom_site_fract_x
_atom_site_fract_y
_atom_site_fract_z
Ni1 0.0000 0.0000 0.0000
Ir1 0.5000 0.5000 0.2446
Os1 0.0000 0.0000 0.5000
```

Properties
Energy above the most stable polymorph in this dataset   0 meV per atom
Energy of formation   0.0 eV per formula unit

***

2.
A plane-wave DFT calculation with PBEsol was carried out for a relaxed structure of BiSO2.

```
data_BiSO2
_space_group_name_H-M_alt 'F m -3 m'
_space_group_IT_number 225
_space_group_name_Hall '-F 4 2 3'
_cell_length_a 5.9634
_cell_length_b 5.9634
_cell_length_c 5.9634
_cell_angle_alpha 90.00
_cell_angle_beta 90.00
_cell_angle_gamma 90.00
loop_
_atom_site_label
_atom_site_fract_x
_atom_site_fract_y
_atom_site_fract_z
Bi1 0.0000 0.0000 0.0000
S1 0.0000 0.0000 0.5000
O1 0.2500 0.2500 0.2500
```

Properties
E_form (uncorrected)   0.105 eV per atom

***

3.
A plane-wave DFT calculation with PBEsol was carried out for a relaxed structure of UVN2.

```
data_UVN2
_space_group_name_H-M_alt 'P n m a'
_space_group_IT_number 62
_space_group_name_Hall '-P 2ac 2n'
_cell_length_a 5.3917
_cell_length_b 3.1016
_cell_length_c 10.5784
_cell_angle_alpha 90.00
_cell_angle_beta 90.00
_cell_angle_gamma 90.00
loop_
_atom_site_label
_atom_site_fract_x
_atom_site_fract_y
_atom_site_fract_z
U1 0.0774 0.2500 0.1430
V1 0.0746 0.7500 0.4022
N1 0.1673 0.2500 0.7538
N2 0.2397 0.2500 0.4928
```

Properties
E_form (uncorrected)   -1.485 eV per atom

***

4.
A plane-wave DFT calculation with PBEsol was carried out for a relaxed structure of MgSe2Br.

```
data_MgSe2Br
_space_group_name_H-M_alt 'R -3 m'
_space_group_IT_number 166
_space_group_name_Hall '-R 3 2"'
_cell_length_a 4.0992
_cell_length_b 4.0992
_cell_length_c 19.4103
_cell_angle_alpha 90.00
_cell_angle_beta 90.00
_cell_angle_gamma 120.00
loop_
_atom_site_label
_atom_site_fract_x
_atom_site_fract_y
_atom_site_fract_z
Mg1 0.0000 0.0000 0.0000
Se1 0.0000 0.0000 0.2703
Br1 0.0000 0.0000 0.5000
```

Properties
E_form (uncorrected)   -0.232 eV per atom

***

5.
A plane-wave DFT calculation with PBEsol was carried out for a relaxed structure of SrTaPb2.

```
data_SrTaPb2
_space_group_name_H-M_alt 'P 4/m m m'
_space_group_IT_number 123
_space_group_name_Hall '-P 4 2'
_cell_length_a 4.9149
_cell_length_b 4.9149
_cell_length_c 4.2119
_cell_angle_alpha 90.00
_cell_angle_beta 90.00
_cell_angle_gamma 90.00
loop_
_atom_site_label
_atom_site_fract_x
_atom_site_fract_y
_atom_site_fract_z
Sr1 0.0000 0.0000 0.0000
Ta1 0.5000 0.5000 0.0000
Pb1 0.0000 0.5000 0.5000
```

Properties
Energy of formation   1.8 eV per formula unit

***

6.
A plane-wave DFT calculation with PBEsol was carried out for a relaxed structure of NaTaAsBr2.

```
data_NaTaAsBr2
_space_group_name_H-M_alt 'P 4/m m m'
_space_group_IT_number 123
_space_group_name_Hall '-P 4 2'
_cell_length_a 5.1870
_cell_length_b 5.1870
_cell_length_c 4.9820
_cell_angle_alpha 90.00
_cell_angle_beta 90.00
_cell_angle_gamma 90.00
loop_
_atom_site_label
_atom_site_fract_x
_atom_site_fract_y
_atom_site_fract_z
Na1 0.0000 0.0000 0.0000
Ta1 0.5000 0.5000 0.5000
As1 0.5000 0.5000 0.0000
Br1 0.0000 0.5000 0.5000
```

Properties
E_form (uncorrected)   -0.334 eV per atom

***

7.
A plane-wave DFT calculation with PBEsol was carried out for a relaxed structure of Li2CdIr.

```
data_Li2CdIr
_space_group_name_H-M_alt 'P m m 2'
_space_group_IT_number 25
_space_group_name_Hall 'P 2 -2'
_cell_length_a 2.6348
_cell_length_b 4.2336
_cell_length_c 5.4360
_cell_angle_alpha 90.00
_cell_angle_beta 90.00
_cell_angle_gamma 90.00
loop_
_atom_site_label
_atom_site_fract_x
_atom_site_fract_y
_atom_site_fract_z
Li1 0.0000 0.0000 0.0000
Li2 0.5000 0.5000 0.2640
Cd1 0.0000 0.0000 0.5195
Ir1 0.5000 0.5000 0.7806
```

Properties
Energy of formation   -0.2 eV per formula unit

***

8.
A plane-wave DFT calculation with PBEsol was carried out for a relaxed structure of NaBiSe2.

```
data_NaBiSe2
_space_group_name_H-M_alt 'P 4/m m m'
_space_group_IT_number 123
_space_group_name_Hall '-P 4 2'
_cell_length_a 4.1989
_cell_length_b 4.1989
_cell_length_c 5.7451
_cell_angle_alpha 90.00
_cell_angle_beta 90.00
_cell_angle_gamma 90.00
loop_
_atom_site_label
_atom_site_fract_x
_atom_site_fract_y
_atom_site_fract_z
Na1 0.0000 0.0000 0.0000
Bi1 0.5000 0.5000 0.5000
Se1 0.0000 0.0000 0.5000
Se2 0.5000 0.5000 0.0000
```

Properties
E_form (uncorrected)   -0.627 eV per atom

***

9.
A plane-wave DFT calculation with PBEsol was carried out for a relaxed structure of Fe2NiSe.

```
data_Fe2NiSe
_space_group_name_H-M_alt 'F -4 3 m'
_space_group_IT_number 216
_space_group_name_Hall 'F -4 2 3'
_cell_length_a 5.7676
_cell_length_b 5.7676
_cell_length_c 5.7676
_cell_angle_alpha 90.00
_cell_angle_beta 90.00
_cell_angle_gamma 90.00
loop_
_atom_site_label
_atom_site_fract_x
_atom_site_fract_y
_atom_site_fract_z
Fe1 0.0000 0.0000 0.0000
Fe2 0.2500 0.2500 0.2500
Ni1 0.0000 0.0000 0.5000
Se1 0.2500 0.2500 0.7500
```

Properties
E_form (uncorrected)   0.247 eV per atom

***

10.
A plane-wave DFT calculation with PBEsol was carried out for a relaxed structure of YMgBeCl2.

```
data_YMgBeCl2
_space_group_name_H-M_alt 'P 4/m m m'
_space_group_IT_number 123
_space_group_name_Hall '-P 4 2'
_cell_length_a 4.5291
_cell_length_b 4.5291
_cell_length_c 5.5269
_cell_angle_alpha 90.00
_cell_angle_beta 90.00
_cell_angle_gamma 90.00
loop_
_atom_site_label
_atom_site_fract_x
_atom_site_fract_y
_atom_site_fract_z
Y1 0.0000 0.0000 0.0000
Mg1 0.5000 0.5000 0.0000
Be1 0.0000 0.0000 0.5000
Cl1 0.0000 0.5000 0.5000
```

Properties
E_form (uncorrected)   -0.082 eV per atom

***

11.
A plane-wave DFT calculation with PBEsol was carried out for a relaxed structure of ZrCu2WO.

```
data_ZrCu2WO
_space_group_name_H-M_alt 'P 4/m m m'
_space_group_IT_number 123
_space_group_name_Hall '-P 4 2'
_cell_length_a 4.1536
_cell_length_b 4.1536
_cell_length_c 3.9907
_cell_angle_alpha 90.00
_cell_angle_beta 90.00
_cell_angle_gamma 90.00
loop_
_atom_site_label
_atom_site_fract_x
_atom_site_fract_y
_atom_site_fract_z
Zr1 0.0000 0.0000 0.0000
Cu1 0.0000 0.5000 0.5000
W1 0.5000 0.5000 0.0000
O1 0.5000 0.5000 0.5000
```

Properties
E_form (uncorrected)   0.037 eV per atom

***

12.
A plane-wave DFT calculation with PBEsol was carried out for a relaxed structure of TiTl3S.

```
data_TiTl3S
_space_group_name_H-M_alt 'P m -3 m'
_space_group_IT_number 221
_space_group_name_Hall '-P 4 2 3'
_cell_length_a 5.2703
_cell_length_b 5.2703
_cell_length_c 5.2703
_cell_angle_alpha 90.00
_cell_angle_beta 90.00
_cell_angle_gamma 90.00
loop_
_atom_site_label
_atom_site_fract_x
_atom_site_fract_y
_atom_site_fract_z
Ti1 0.0000 0.0000 0.0000
Tl1 0.0000 0.5000 0.5000
S1 0.5000 0.5000 0.5000
```

Properties
E_form (uncorrected)   0.780 eV per atom